1.
A plane-wave DFT calculation with GGA-PBE was carried out for crystalline CaZr2As at its relaxed geometry.

Output
- final energy (eV per atom) = -6.0021
- calculated formation energy (eV per formula unit) = -0.261
- crystal system = monoclinic
- spin magnetization (μB/cell) = 0.00

CIF file:
```
data_CaZr2As
_cell_length_a 6.202
_cell_length_b 10.860
_cell_length_c 3.164
_cell_angle_alpha 90.00
_cell_angle_beta 119.88
_cell_angle_gamma 90.00
_space_group_name_H-M_alt 'C 1 2/m 1'
_space_group_IT_number 12
_space_group_name_Hall '-C 2y'
loop_
_atom_site_label
_atom_site_type_symbol
_atom_site_fract_x
_atom_site_fract_y
_atom_site_fract_z
Ca1 Ca 0.000 0.000 0.000
Zr1 Zr 0.250 0.250 0.500
As1 As 0.000 0.500 0.000
```

---

2.
A plane-wave DFT calculation with GGA-PBE was carried out for crystalline CaZr2As at its relaxed geometry.

Output
- final energy (eV per atom) = -6.5021
- calculated formation energy (eV per formula unit) = -2.261
- crystal system = monoclinic
- spin magnetization (μB/cell) = 0.00

CIF file:
```
data_CaZr2As
_cell_length_a 6.715
_cell_length_b 3.652
_cell_length_c 8.151
_cell_angle_alpha 90.00
_cell_angle_beta 95.98
_cell_angle_gamma 90.00
_space_group_name_H-M_alt 'P 1 21/m 1'
_space_group_IT_number 11
_space_group_name_Hall '-P 2yb'
loop_
_atom_site_label
_atom_site_type_symbol
_atom_site_fract_x
_atom_site_fract_y
_atom_site_fract_z
Ca1 Ca 0.244 0.250 0.452
Zr1 Zr 0.089 0.250 0.866
Zr2 Zr 0.369 0.750 0.104
As1 As 0.360 0.750 0.743
```

---

3.
A plane-wave DFT calculation with GGA-PBE was carried out for crystalline CaZr2As at its relaxed geometry.

Output
- final energy (eV per atom) = -6.1099
- calculated formation energy (eV per formula unit) = -0.692
- crystal system = tetragonal
- spin magnetization (μB/cell) = 0.00

CIF file:
```
data_CaZr2As
_cell_length_a 4.269
_cell_length_b 4.269
_cell_length_c 9.989
_cell_angle_alpha 90.00
_cell_angle_beta 90.00
_cell_angle_gamma 90.00
_space_group_name_H-M_alt 'I 4/m m m'
_space_group_IT_number 139
_space_group_name_Hall '-I 4 2'
loop_
_atom_site_label
_atom_site_type_symbol
_atom_site_fract_x
_atom_site_fract_y
_atom_site_fract_z
Ca1 Ca 0.000 0.000 0.000
Zr1 Zr 0.000 0.500 0.250
As1 As 0.000 0.000 0.500
```

---

4.
A plane-wave DFT calculation with GGA-PBE was carried out for crystalline Ca2ZrAs at its relaxed geometry.

Output
- final energy (eV per atom) = -4.4902
- calculated formation energy (eV per formula unit) = -0.760
- crystal system = orthorhombic
- spin magnetization (μB/cell) = 2.87

CIF file:
```
data_Ca2ZrAs
_cell_length_a 4.785
_cell_length_b 4.795
_cell_length_c 9.346
_cell_angle_alpha 90.00
_cell_angle_beta 90.00
_cell_angle_gamma 90.00
_space_group_name_H-M_alt 'C m m m'
_space_group_IT_number 65
_space_group_name_Hall '-C 2 2'
loop_
_atom_site_label
_atom_site_type_symbol
_atom_site_fract_x
_atom_site_fract_y
_atom_site_fract_z
Ca1 Ca 0.000 0.000 0.203
Zr1 Zr 0.000 0.500 0.500
As1 As 0.000 0.500 0.000
```

---

5.
A plane-wave DFT calculation with GGA-PBE was carried out for crystalline CaZr2As at its relaxed geometry.

Output
- final energy (eV per atom) = -6.4857
- calculated formation energy (eV per formula unit) = -2.195
- crystal system = monoclinic
- spin magnetization (μB/cell) = 0.00

CIF file:
```
data_CaZr2As
_cell_length_a 11.164
_cell_length_b 3.779
_cell_length_c 8.988
_cell_angle_alpha 90.00
_cell_angle_beta 90.23
_cell_angle_gamma 90.00
_space_group_name_H-M_alt 'C 1 2/m 1'
_space_group_IT_number 12
_space_group_name_Hall '-C 2y'
loop_
_atom_site_label
_atom_site_type_symbol
_atom_site_fract_x
_atom_site_fract_y
_atom_site_fract_z
Ca1 Ca 0.132 0.000 0.444
Zr1 Zr 0.060 0.500 0.795
Zr2 Zr 0.139 0.000 0.050
As1 As 0.249 0.000 0.763
```

---

6.
A plane-wave DFT calculation with GGA-PBE was carried out for crystalline CaZr2As at its relaxed geometry.

Output
- final energy (eV per atom) = -6.1593
- calculated formation energy (eV per formula unit) = -0.890
- crystal system = tetragonal
- spin magnetization (μB/cell) = 0.18

CIF file:
```
data_CaZr2As
_cell_length_a 3.563
_cell_length_b 3.563
_cell_length_c 7.493
_cell_angle_alpha 90.00
_cell_angle_beta 90.00
_cell_angle_gamma 90.00
_space_group_name_H-M_alt 'P 4/m m m'
_space_group_IT_number 123
_space_group_name_Hall '-P 4 2'
loop_
_atom_site_label
_atom_site_type_symbol
_atom_site_fract_x
_atom_site_fract_y
_atom_site_fract_z
Ca1 Ca 0.000 0.000 0.000
Zr1 Zr 0.500 0.500 0.312
As1 As 0.000 0.000 0.500
```

---

- Among the records above, which one has the lowest final energy?
  number 2